[1]
Material: KLiBiS3
Method: DFT, GGA-PBE
State: relaxed

Properties
Its total energy is -47.15 eV for the cell shown. Its uncorrected formation energy is -0.717 eV/atom. For the total magnetization, the calculation gives 0.00 μB/f.u. The calculated volume is 158.1 Å³/f.u. As for the space group: P2_1/m (11).

Cell: 4.1200 9.0778 9.0098 Å, 110.23 90.00 90.00°
With the nearest neighbours (Å) after each atom.
Fractional coordinates of all 12 atoms:
1 S 0.7500 0.8735 0.1404  1 Li 2.42
2 S 0.2500 0.5338 0.8287  3 Bi 2.81-2.83
3 S 0.2500 0.8028 0.4751  3 Li 2.41-2.44, 1 Bi 2.67
4 S 0.7500 0.1972 0.5249  3 Li 2.41-2.44, 1 Bi 2.67
5 S 0.2500 0.1265 0.8596  1 Li 2.42
6 S 0.7500 0.4662 0.1713  3 Bi 2.81-2.83
7 K 0.2500 0.2144 0.2485  7 S 3.28-3.56, 1 Li 3.55
8 K 0.7500 0.7856 0.7515  7 S 3.28-3.56, 1 Li 3.55
9 Li 0.2500 0.0892 0.5804  4 S 2.41-2.44
10 Li 0.7500 0.9108 0.4196  4 S 2.41-2.44
11 Bi 0.7500 0.3249 0.8406  6 S 2.67-2.83
12 Bi 0.2500 0.6751 0.1594  6 S 2.67-2.83

---

[2]
Material: AgSbAu
Method: DFT, GGA-PBE
State: relaxed

Properties
Its total energy is -19.68 eV for the cell shown. As for the offset from the most stable computed form: 3.59 kcal/mol of atoms. Its uncorrected formation energy is 0.137 eV/atom. For the total magnetization, the calculation gives 0.00 μB/f.u. The calculated volume is 64.4 Å³/f.u. As for the space group: Amm2 (38).

Cell: 3.1324 3.1315 15.1574 Å, 90.00 90.00 120.01°
With the nearest neighbours (Å) after each atom.
Fractional coordinates of all 6 atoms:
1 Sb 0.3350 0.6700 0.8156  1 Au 2.80, 3 Ag 3.09-3.11
2 Sb 0.3350 0.6700 0.1844  1 Au 2.80, 3 Ag 3.09-3.11
3 Au 0.3310 0.6620 0.5000  6 Ag 2.90, 6 Au 3.13
4 Au 0.3364 0.6728 0.0000  2 Sb 2.80
5 Ag 0.6646 0.3292 0.6493  3 Au 2.90, 3 Sb 3.09-3.11, 6 Ag 3.13
6 Ag 0.6646 0.3292 0.3507  3 Au 2.90, 3 Sb 3.09-3.11, 6 Ag 3.13

---

[3]
Material: UPaB4
Method: DFT, GGA-PBE
State: relaxed

Properties
Its total energy is -198.30 eV for the cell shown. As for the offset from the most stable computed form: 0.00 kcal/mol of atoms. For the total magnetization, the calculation gives 0.00 μB/f.u. The calculated volume is 71.7 Å³/f.u. As for the energy of formation: -2.08 eV/f.u. As for the space group: Pbam (55).

Cell: 4.1085 5.9914 11.6459 Å, 90.00 90.00 90.00°
With the nearest neighbours (Å) after each atom.
Fractional coordinates of all 24 atoms:
1 B 0.5000 0.8766 0.4482  3 B 1.77-1.91
2 B 0.5000 0.9799 0.3046  3 B 1.75-1.90
3 B 0.5000 0.1289 0.9691  3 B 1.70-1.88
4 B 0.5000 0.3711 0.4691  3 B 1.70-1.88
5 B 0.5000 0.1234 0.5518  3 B 1.77-1.91
6 B 0.5000 0.6289 0.5309  3 B 1.70-1.88
7 B 0.5000 0.8711 0.0309  3 B 1.70-1.88
8 B 0.5000 0.5201 0.8046  3 B 1.75-1.90
9 B 0.5000 0.7959 0.1874  3 B 1.75-1.90
10 B 0.5000 0.6234 0.9482  3 B 1.77-1.91
11 B 0.5000 0.2041 0.8126  3 B 1.75-1.90
12 B 0.5000 0.4799 0.1954  3 B 1.75-1.90
13 B 0.5000 0.3766 0.0518  3 B 1.77-1.91
14 B 0.5000 0.7041 0.6874  3 B 1.75-1.90
15 B 0.5000 0.0201 0.6954  3 B 1.75-1.90
16 B 0.5000 0.2959 0.3126  3 B 1.75-1.90
17 Pa 0.0000 0.3822 0.6563  14 B 2.81-3.02, 2 U 3.04-3.06
18 Pa 0.0000 0.1178 0.1563  14 B 2.81-3.02, 2 U 3.04-3.06
19 Pa 0.0000 0.6178 0.3437  14 B 2.81-3.02, 2 U 3.04-3.06
20 Pa 0.0000 0.8822 0.8437  14 B 2.81-3.02, 2 U 3.04-3.06
21 U 0.0000 0.8718 0.5825  1 U 2.46, 10 B 2.57-2.60
22 U 0.0000 0.3718 0.9175  1 U 2.46, 10 B 2.57-2.60
23 U 0.0000 0.1282 0.4175  1 U 2.46, 10 B 2.57-2.60
24 U 0.0000 0.6282 0.0825  1 U 2.46, 10 B 2.57-2.60

---

[4]
Material: KTe2Cl
Method: DFT, GGA-PBE
State: relaxed

Properties
Its total energy is -11.34 eV for the cell shown. As for the offset from the most stable computed form: 7.40 kcal/mol of atoms. Its uncorrected formation energy is -0.528 eV/atom. For the total magnetization, the calculation gives 0.00 μB/f.u. The calculated volume is 137.9 Å³/f.u. As for the space group: C2/m (12).

Cell: 6.6414 7.8577 3.2104 Å, 89.43 62.62 109.19°
With the nearest neighbours (Å) after each atom.
Fractional coordinates of all 4 atoms:
1 Cl 0.0000 0.5000 0.5000  2 K 2.95, 2 Cl 3.21
2 Te 0.0000 0.0000 0.0000  4 Te 2.95-3.21
3 Te 0.5000 0.0000 0.5000  4 Te 2.95-3.21
4 K 0.5000 0.5000 0.0000  2 Cl 2.95, 2 K 3.21

---

[5]
Material: Mg2Be2InPt5
Method: DFT, GGA-PBE
State: relaxed

Properties
Its total energy is -101.97 eV for the cell shown. For the total magnetization, the calculation gives 0.00 μB/f.u. The calculated volume is 152.1 Å³/f.u. As for the energy of formation: -7.40 eV/f.u. As for the space group: P4/mbm (127).

Cell: 3.4435 9.3995 9.3995 Å, 90.00 90.00 90.00°
With the nearest neighbours (Å) after each atom.
Fractional coordinates of all 20 atoms:
1 Pt 0.5000 0.5000 0.0000  4 Be 2.38
2 Pt 0.5000 0.7161 0.4270  2 Be 2.34
3 Pt 0.5000 0.4270 0.2839  2 Be 2.34
4 Pt 0.5000 0.9270 0.2161  2 Be 2.34
5 Pt 0.5000 0.0730 0.7839  2 Be 2.34
6 Pt 0.5000 0.2839 0.5730  2 Be 2.34
7 Pt 0.5000 0.7839 0.9270  2 Be 2.34
8 Pt 0.5000 0.5730 0.7161  2 Be 2.34
9 Pt 0.5000 0.2161 0.0730  2 Be 2.34
10 Pt 0.5000 0.0000 0.5000  4 Be 2.38
11 In 0.0000 0.5000 0.5000  8 Pt 2.75
12 In 0.0000 0.0000 0.0000  8 Pt 2.75
13 Mg 0.0000 0.3251 0.8251  3 Be 2.68-2.84, 6 Pt 2.89-2.95
14 Mg 0.0000 0.8251 0.6749  3 Be 2.68-2.84, 6 Pt 2.89-2.95
15 Mg 0.0000 0.6749 0.1749  3 Be 2.68-2.84, 6 Pt 2.89-2.95
16 Mg 0.0000 0.1749 0.3251  3 Be 2.68-2.84, 6 Pt 2.89-2.95
17 Be 0.0000 0.6232 0.8768  6 Pt 2.34-2.38
18 Be 0.0000 0.3768 0.1232  6 Pt 2.34-2.38
19 Be 0.0000 0.1232 0.6232  6 Pt 2.34-2.38
20 Be 0.0000 0.8768 0.3768  6 Pt 2.34-2.38

---

[6]
Material: Dy3Y6Sc
Method: DFT, GGA-PBE
State: relaxed

Properties
Its total energy is -115.03 eV for the cell shown. As for the offset from the most stable computed form: 0.00 kcal/mol of atoms. For the total magnetization, the calculation gives 0.00 μB/f.u. The calculated volume is 318.0 Å³/f.u. As for the energy of formation: 1.41 eV/f.u. As for the space group: Cmc2_1 (36).

Cell: 6.2080 10.8821 10.8821 Å, 120.09 90.00 90.00°
With the nearest neighbours (Å) after each atom.
Fractional coordinates of all 20 atoms:
1 Y 0.0433 0.7098 0.6194  4 Dy 3.38-3.66, 5 Y 3.41-3.73
2 Y 0.9169 0.0487 0.9513  1 Sc 3.26, 4 Dy 3.53-3.60, 2 Y 3.61
3 Y 0.1515 0.7231 0.2769  4 Y 3.21-3.34, 2 Sc 3.31-3.46, 1 Dy 3.34
4 Y 0.3575 0.0490 0.4674  5 Y 3.21-3.47, 2 Dy 3.27-3.53, 2 Sc 3.30-3.37
5 Y 0.8575 0.9510 0.5326  5 Y 3.21-3.47, 2 Dy 3.27-3.53, 2 Sc 3.30-3.37
6 Y 0.8575 0.4674 0.0490  5 Y 3.21-3.47, 2 Dy 3.27-3.53, 2 Sc 3.30-3.37
7 Y 0.4169 0.9513 0.0487  1 Sc 3.26, 4 Dy 3.53-3.60, 2 Y 3.61
8 Y 0.6515 0.2769 0.7231  4 Y 3.21-3.34, 2 Sc 3.31-3.46, 1 Dy 3.34
9 Y 0.3575 0.5326 0.9510  5 Y 3.21-3.47, 2 Dy 3.27-3.53, 2 Sc 3.30-3.37
10 Y 0.5433 0.6194 0.7098  4 Dy 3.38-3.66, 5 Y 3.41-3.73
11 Y 0.5433 0.2902 0.3806  4 Dy 3.38-3.66, 5 Y 3.41-3.73
12 Y 0.0433 0.3806 0.2902  4 Dy 3.38-3.66, 5 Y 3.41-3.73
13 Dy 0.9534 0.0547 0.2775  1 Sc 3.20, 5 Y 3.27-3.53
14 Dy 0.5703 0.6117 0.3883  7 Y 3.34-3.67, 1 Sc 3.47, 2 Dy 3.70
15 Dy 0.4534 0.9453 0.7225  1 Sc 3.20, 5 Y 3.27-3.53
16 Dy 0.4534 0.2775 0.0547  1 Sc 3.20, 5 Y 3.27-3.53
17 Dy 0.0703 0.3883 0.6117  7 Y 3.34-3.67, 1 Sc 3.47, 2 Dy 3.70
18 Dy 0.9534 0.7225 0.9453  1 Sc 3.20, 5 Y 3.27-3.53
19 Sc 0.6382 0.7946 0.2054  3 Dy 3.20-3.47, 7 Y 3.26-3.46
20 Sc 0.1382 0.2054 0.7946  3 Dy 3.20-3.47, 7 Y 3.26-3.46

---

[7]
Material: Sr2HgTe2
Method: DFT, GGA-PBE
State: relaxed

Properties
Its total energy is -15.39 eV for the cell shown. As for the offset from the most stable computed form: 3.82 kcal/mol of atoms. Its uncorrected formation energy is -1.088 eV/atom. For the total magnetization, the calculation gives 0.00 μB/f.u. The calculated volume is 242.4 Å³/f.u. As for the space group: I4/mmm (139).

Cell: 6.0562 6.0562 7.8744 Å, 67.38 67.38 90.00°
With the nearest neighbours (Å) after each atom.
Fractional coordinates of all 5 atoms:
1 Te 0.6630 0.6630 0.6741  4 Sr 3.24
2 Te 0.3370 0.3370 0.3259  4 Sr 3.24
3 Sr 0.7500 0.2500 0.5000  4 Te 3.24
4 Sr 0.2500 0.7500 0.5000  4 Te 3.24
5 Hg 0.0000 0.0000 0.0000  10 Te 4.45-4.79, 8 Sr 4.48

---

[8]
Material: NaLi2CaHg4
Method: DFT, GGA-PBE
State: relaxed

Properties
Its total energy is -11.08 eV for the cell shown. For the total magnetization, the calculation gives 0.00 μB/f.u. The calculated volume is 185.0 Å³/f.u. As for the energy of formation: -2.72 eV/f.u. As for the space group: R-3m (166).

Cell: 5.0304 5.0304 8.9254 Å, 73.63 73.63 60.00°
With the nearest neighbours (Å) after each atom.
Fractional coordinates of all 8 atoms:
1 Hg 0.1254 0.1254 0.6236  4 Li 3.07, 3 Na 3.09, 1 Ca 3.18
2 Hg 0.8746 0.8746 0.3764  4 Li 3.07, 3 Na 3.09, 1 Ca 3.18
3 Hg 0.3803 0.3803 0.8590  1 Na 3.03, 4 Li 3.07-3.38, 3 Ca 3.14
4 Hg 0.6197 0.6197 0.1410  1 Na 3.03, 4 Li 3.07-3.38, 3 Ca 3.14
5 Na 0.5000 0.5000 0.5000  8 Hg 3.03-3.09
6 Ca 0.0000 0.0000 0.0000  8 Hg 3.14-3.18
7 Li 0.7534 0.7534 0.7399  8 Hg 3.07-3.38
8 Li 0.2466 0.2466 0.2601  8 Hg 3.07-3.38

---

[9]
Material: LiTaCu4
Method: DFT, GGA-PBE
State: relaxed

Properties
Its total energy is -29.31 eV for the cell shown. For the total magnetization, the calculation gives 0.00 μB/f.u. The calculated volume is 80.3 Å³/f.u. As for the energy of formation: 0.84 eV/f.u. As for the space group: F-43m (216).

Cell: 4.8421 4.8421 4.8421 Å, 60.00 60.00 60.00°
With the nearest neighbours (Å) after each atom.
Fractional coordinates of all 6 atoms:
1 Cu 0.3753 0.8741 0.3753  6 Cu 2.42-2.43
2 Cu 0.8741 0.3753 0.3753  6 Cu 2.42-2.43
3 Cu 0.3753 0.3753 0.8741  6 Cu 2.42-2.43
4 Cu 0.3753 0.3753 0.3753  6 Cu 2.42-2.43
5 Li 0.7500 0.7500 0.7500  12 Cu 2.84, 4 Ta 2.97
6 Ta 0.0000 0.0000 0.0000  12 Cu 2.84, 4 Li 2.97

---

[10]
Material: Rb3Sr12H5
Method: DFT, GGA-PBE
State: relaxed

Properties
Its total energy is -156.85 eV for the cell shown. For the total magnetization, the calculation gives 0.00 μB/f.u. The calculated volume is 841.1 Å³/f.u. As for the space group: Ia-3d (230).

Cell: 16.3497 16.3497 16.3497 Å, 109.47 109.47 109.47°
With the nearest neighbours (Å) after each atom.
Fractional coordinates of all 80 atoms:
1 Sr 0.8132 0.3008 0.9075  1 H 2.50
2 Sr 0.3008 0.4875 0.3933  1 H 2.50
3 Sr 0.0925 0.1992 0.1868  1 H 2.50
4 Sr 0.1067 0.1992 0.5125  1 H 2.50
5 Sr 0.6868 0.0943 0.9875  1 H 2.50
6 Sr 0.1868 0.4875 0.5943  1 H 2.50
7 Sr 0.4075 0.0943 0.6067  1 H 2.50
8 Sr 0.8933 0.0925 0.9057  1 H 2.50
9 Sr 0.9075 0.1067 0.5943  1 H 2.50
10 Sr 0.8008 0.8933 0.9875  1 H 2.50
11 Sr 0.1868 0.6992 0.0925  1 H 2.50
12 Sr 0.6992 0.5125 0.6067  1 H 2.50
13 Sr 0.3933 0.4057 0.5925  1 H 2.50
14 Sr 0.5943 0.9875 0.1868  1 H 2.50
15 Sr 0.3008 0.8132 0.4075  1 H 2.50
16 Sr 0.4057 0.0125 0.8132  1 H 2.50
17 Sr 0.8008 0.9075 0.3132  1 H 2.50
18 Sr 0.5925 0.9057 0.3933  1 H 2.50
19 Sr 0.0925 0.8933 0.4057  1 H 2.50
20 Sr 0.0943 0.6868 0.4875  1 H 2.50
21 Sr 0.9075 0.8008 0.8132  1 H 2.50
22 Sr 0.3132 0.4075 0.8008  1 H 2.50
23 Sr 0.0125 0.4057 0.3132  1 H 2.50
24 Sr 0.0943 0.4075 0.1067  1 H 2.50
25 Sr 0.3933 0.9875 0.3008  1 H 2.50
26 Sr 0.5925 0.6868 0.6992  1 H 2.50
27 Sr 0.9057 0.5925 0.8933  1 H 2.50
28 Sr 0.6868 0.5925 0.1992  1 H 2.50
29 Sr 0.1992 0.1067 0.0125  1 H 2.50
30 Sr 0.1067 0.9075 0.0943  1 H 2.50
31 Sr 0.6067 0.0125 0.6992  1 H 2.50
32 Sr 0.6067 0.5943 0.4075  1 H 2.50
33 Sr 0.9875 0.3933 0.8008  1 H 2.50
34 Sr 0.4057 0.3933 0.0925  1 H 2.50
35 Sr 0.4875 0.3008 0.8933  1 H 2.50
36 Sr 0.5125 0.6992 0.1067  1 H 2.50
37 Sr 0.4875 0.1868 0.0943  1 H 2.50
38 Sr 0.8132 0.5125 0.4057  1 H 2.50
39 Sr 0.0125 0.6067 0.1992  1 H 2.50
40 Sr 0.5943 0.6067 0.9075  1 H 2.50
41 Sr 0.4075 0.3132 0.3008  1 H 2.50
42 Sr 0.9875 0.5943 0.6868  1 H 2.50
43 Sr 0.6992 0.1868 0.5925  1 H 2.50
44 Sr 0.1992 0.0925 0.6868  1 H 2.50
45 Sr 0.9057 0.3132 0.5125  1 H 2.50
46 Sr 0.5125 0.8132 0.9057  1 H 2.50
47 Sr 0.8933 0.8008 0.4875  1 H 2.50
48 Sr 0.3132 0.9057 0.0125  1 H 2.50
49 H 0.3750 0.2500 0.1250  4 Sr 2.50
50 H 0.0000 0.0000 0.0000  6 Sr 3.04
51 H 0.1250 0.3750 0.2500  4 Sr 2.50
52 H 0.5000 0.0000 0.5000  6 Sr 3.04
53 H 0.7500 0.6250 0.3750  4 Sr 2.50
54 H 0.7500 0.1250 0.8750  4 Sr 2.50
55 H 0.0000 0.5000 0.5000  6 Sr 3.04
56 H 0.5000 0.5000 0.5000  6 Sr 3.04
57 H 0.0000 0.0000 0.5000  6 Sr 3.04
58 H 0.8750 0.2500 0.6250  4 Sr 2.50
59 H 0.0000 0.5000 0.0000  6 Sr 3.04
60 H 0.6250 0.7500 0.8750  4 Sr 2.50
61 H 0.1250 0.7500 0.3750  4 Sr 2.50
62 H 0.2500 0.3750 0.6250  4 Sr 2.50
63 H 0.8750 0.6250 0.7500  4 Sr 2.50
64 H 0.5000 0.0000 0.0000  6 Sr 3.04
65 H 0.3750 0.1250 0.7500  4 Sr 2.50
66 H 0.2500 0.8750 0.1250  4 Sr 2.50
67 H 0.6250 0.8750 0.2500  4 Sr 2.50
68 H 0.5000 0.5000 0.0000  6 Sr 3.04
69 Rb 0.7500 0.3750 0.1250  8 Sr 3.95-4.11
70 Rb 0.2500 0.1250 0.3750  8 Sr 3.95-4.11
71 Rb 0.7500 0.8750 0.6250  8 Sr 3.95-4.11
72 Rb 0.1250 0.2500 0.8750  8 Sr 3.95-4.11
73 Rb 0.8750 0.1250 0.2500  8 Sr 3.95-4.11
74 Rb 0.3750 0.6250 0.2500  8 Sr 3.95-4.11
75 Rb 0.2500 0.6250 0.8750  8 Sr 3.95-4.11
76 Rb 0.8750 0.7500 0.1250  8 Sr 3.95-4.11
77 Rb 0.1250 0.8750 0.7500  8 Sr 3.95-4.11
78 Rb 0.6250 0.2500 0.3750  8 Sr 3.95-4.11
79 Rb 0.6250 0.3750 0.7500  8 Sr 3.95-4.11
80 Rb 0.3750 0.7500 0.6250  8 Sr 3.95-4.11

---

[11]
Material: La3PmNd5
Method: DFT, GGA-PBE
State: relaxed

Properties
Its total energy is -80.00 eV for the cell shown. For the total magnetization, the calculation gives 0.00 μB/f.u. The calculated volume is 342.4 Å³/f.u. As for the energy of formation: 3.37 eV/f.u. As for the space group: C2/m (12).

Cell: 7.5039 7.5039 13.3080 Å, 77.87 77.87 71.08°
With the nearest neighbours (Å) after each atom.
Fractional coordinates of all 18 atoms:
1 Nd 0.3501 0.9707 0.2206  3 Nd 3.31-3.57
2 Nd 0.5762 0.5762 0.3818  3 La 3.19-3.55, 3 Nd 3.22-3.44
3 Nd 0.7344 0.7344 0.0414  1 La 3.15, 2 Nd 3.45
4 Nd 0.6850 0.3150 0.0000  1 La 2.75
5 Nd 0.9707 0.3501 0.2206  3 Nd 3.31-3.57
6 Nd 0.0293 0.6499 0.7794  3 Nd 3.31-3.57
7 Nd 0.3150 0.6850 0.0000  1 La 2.75
8 Nd 0.6499 0.0293 0.7794  3 Nd 3.31-3.57
9 Nd 0.4238 0.4238 0.6182  3 La 3.19-3.55, 3 Nd 3.22-3.44
10 Nd 0.2656 0.2656 0.9586  1 La 3.15, 2 Nd 3.45
11 La 0.0000 0.0000 0.5000  2 La 3.25
12 La 0.4373 0.4373 0.2089  3 Nd 3.13-3.19, 1 La 3.30
13 La 0.0000 0.0000 0.0000  2 Nd 2.75
14 La 0.5627 0.5627 0.7911  3 Nd 3.13-3.19, 1 La 3.30
15 La 0.7250 0.7250 0.5503  2 Nd 3.23-3.55, 2 La 3.25-3.30
16 La 0.2750 0.2750 0.4497  2 Nd 3.23-3.55, 2 La 3.25-3.30
17 Pm 0.1241 0.1241 0.7330  3 La 3.48-3.79, 4 Nd 3.58-3.83
18 Pm 0.8759 0.8759 0.2670  3 La 3.48-3.79, 4 Nd 3.58-3.83

---

[12]
Material: CeDy10Ho4
Method: DFT, GGA-PBE
State: relaxed

Properties
Its total energy is -58.94 eV for the cell shown. For the total magnetization, the calculation gives 1.81 μB/f.u. The calculated volume is 556.8 Å³/f.u. As for the energy of formation: 11.33 eV/f.u. As for the space group: I4/m (87).

Cell: 7.6364 9.3539 9.3539 Å, 80.41 65.91 65.91°
With the nearest neighbours (Å) after each atom.
Fractional coordinates of all 15 atoms:
1 Ho 0.2007 0.4001 0.1985  8 Dy 3.31-3.32
2 Ho 0.3992 0.8015 0.4001  8 Dy 3.31-3.32
3 Ho 0.6008 0.1985 0.5999  8 Dy 3.31-3.32
4 Ho 0.7993 0.5999 0.8015  8 Dy 3.31-3.32
5 Dy 0.0493 0.1001 0.2971  1 Ce 3.28, 3 Ho 3.31
6 Dy 0.2500 0.5000 0.5000  4 Ho 3.32
7 Dy 0.1494 0.2971 0.8999  1 Ce 3.28, 3 Ho 3.31
8 Dy 0.6536 0.2971 0.8999  1 Ce 3.28, 3 Ho 3.31
9 Dy 0.5535 0.1001 0.2971  1 Ce 3.28, 3 Ho 3.31
10 Dy 0.3464 0.7029 0.1001  1 Ce 3.28, 3 Ho 3.31
11 Dy 0.9507 0.8999 0.7029  1 Ce 3.28, 3 Ho 3.31
12 Dy 0.4465 0.8999 0.7029  1 Ce 3.28, 3 Ho 3.31
13 Dy 0.8506 0.7029 0.1001  1 Ce 3.28, 3 Ho 3.31
14 Dy 0.7500 0.5000 0.5000  4 Ho 3.32
15 Ce 0.0000 0.0000 0.0000  8 Dy 3.28